(1)
{
  "formula": "LaErTl3",
  "functional": "PBE",
  "state": "optimized geometry",
  "total_energy_ha_per_atom": -0.132,
  "e_form_ev_per_atom": -0.273,
  "lattice": [[9.078, -2.595, 0.000], [9.078, 2.595, 0.000], [-1.204, 0.000, 6.433]],
  "species": ["La", "La", "Er", "Er", "Tl", "Tl", "Tl", "Tl", "Tl", "Tl"],
  "frac_coords": [[0.090, 0.090, 0.314], [0.910, 0.910, 0.686], [0.291, 0.291, 0.163], [0.709, 0.709, 0.837], [0.119, 0.119, 0.835], [0.284, 0.284, 0.655], [0.478, 0.478, 0.239], [0.522, 0.522, 0.761], [0.716, 0.716, 0.345], [0.881, 0.881, 0.165]]
}

***

(2)
{
  "formula": "La3Er2Tl7",
  "functional": "PBE",
  "state": "optimized geometry",
  "total_energy_ha_per_atom": -0.130,
  "e_form_ev_per_atom": -0.160,
  "lattice": [[2.789, -11.908, 0.000], [2.789, 11.908, 0.000], [0.000, 0.000, 5.753]],
  "species": ["La", "La", "La", "Er", "Er", "Tl", "Tl", "Tl", "Tl", "Tl", "Tl", "Tl"],
  "frac_coords": [[0.000, 0.000, 0.000], [0.168, 0.832, 0.000], [0.832, 0.168, 0.000], [0.359, 0.641, 0.500], [0.641, 0.359, 0.500], [0.079, 0.921, 0.500], [0.228, 0.772, 0.500], [0.414, 0.586, 0.000], [0.500, 0.500, 0.500], [0.586, 0.414, 0.000], [0.772, 0.228, 0.500], [0.921, 0.079, 0.500]]
}

***

(3)
{
  "formula": "La5ErTl2",
  "functional": "PBE",
  "state": "optimized geometry",
  "total_energy_ha_per_atom": -0.160,
  "e_form_ev_per_atom": -0.111,
  "lattice": [[5.662, 0.000, 0.000], [-2.831, 4.903, 0.000], [0.000, 0.000, 20.546]],
  "species": ["La", "La", "La", "La", "La", "La", "La", "La", "La", "La", "Er", "Er", "Tl", "Tl", "Tl", "Tl"],
  "frac_coords": [[0.000, 0.000, 0.161], [0.000, 0.000, 0.339], [0.000, 0.000, 0.661], [0.000, 0.000, 0.839], [0.333, 0.667, 0.061], [0.333, 0.667, 0.250], [0.333, 0.667, 0.439], [0.667, 0.333, 0.561], [0.667, 0.333, 0.750], [0.667, 0.333, 0.939], [0.333, 0.667, 0.750], [0.667, 0.333, 0.250], [0.333, 0.667, 0.599], [0.333, 0.667, 0.901], [0.667, 0.333, 0.099], [0.667, 0.333, 0.401]]
}

***

(4)
{
  "formula": "La5ErTl3",
  "functional": "PBE",
  "state": "optimized geometry",
  "total_energy_ha_per_atom": -0.159,
  "e_form_ev_per_atom": -0.287,
  "lattice": [[9.716, 0.000, 0.000], [-4.858, 8.414, 0.000], [0.000, 0.000, 7.035]],
  "species": ["La", "La", "La", "La", "La", "La", "La", "La", "La", "La", "Er", "Er", "Tl", "Tl", "Tl", "Tl", "Tl", "Tl"],
  "frac_coords": [[0.000, 0.342, 0.250], [0.000, 0.658, 0.750], [0.333, 0.667, 0.000], [0.333, 0.667, 0.500], [0.342, 0.000, 0.250], [0.342, 0.342, 0.750], [0.658, 0.000, 0.750], [0.658, 0.658, 0.250], [0.667, 0.333, 0.000], [0.667, 0.333, 0.500], [0.000, 0.000, 0.000], [0.000, 0.000, 0.500], [0.000, 0.319, 0.750], [0.000, 0.681, 0.250], [0.319, 0.000, 0.750], [0.319, 0.319, 0.250], [0.681, 0.000, 0.250], [0.681, 0.681, 0.750]]
}

***

(5)
{
  "formula": "La2ErTl2",
  "functional": "PBE",
  "state": "optimized geometry",
  "total_energy_ha_per_atom": -0.152,
  "e_form_ev_per_atom": -0.308,
  "de_polymorph_mev_per_atom": 25,
  "lattice": [[5.017, 0.000, 0.000], [0.000, 7.202, 0.000], [0.000, 0.000, 8.834]],
  "species": ["La", "La", "La", "La", "Er", "Er", "Tl", "Tl", "Tl", "Tl"],
  "frac_coords": [[0.000, 0.000, 0.184], [0.000, 0.000, 0.816], [0.500, 0.500, 0.316], [0.500, 0.500, 0.684], [0.000, 0.500, 0.000], [0.500, 0.000, 0.500], [0.000, 0.273, 0.500], [0.000, 0.727, 0.500], [0.500, 0.227, 0.000], [0.500, 0.773, 0.000]]
}

***

(6)
{
  "formula": "La5Er4Tl4",
  "functional": "PBE",
  "state": "optimized geometry",
  "total_energy_ha_per_atom": -0.157,
  "e_form_ev_per_atom": -0.259,
  "lattice": [[-6.473, 6.473, 2.512], [6.473, -6.473, 2.512], [6.473, 6.473, -2.512]],
  "species": ["La", "La", "La", "La", "La", "Er", "Er", "Er", "Er", "Tl", "Tl", "Tl", "Tl"],
  "frac_coords": [[0.000, 0.000, 0.000], [0.302, 0.387, 0.690], [0.387, 0.698, 0.085], [0.613, 0.302, 0.915], [0.698, 0.613, 0.310], [0.093, 0.594, 0.687], [0.406, 0.093, 0.500], [0.594, 0.907, 0.500], [0.907, 0.406, 0.313], [0.085, 0.243, 0.328], [0.243, 0.915, 0.158], [0.757, 0.085, 0.842], [0.915, 0.757, 0.672]]
}

***

(7)
{
  "formula": "La15ErTl4",
  "functional": "PBE",
  "state": "optimized geometry",
  "total_energy_ha_per_atom": -0.168,
  "e_form_ev_per_atom": -0.185,
  "lattice": [[5.086, 0.000, 0.000], [0.000, 5.086, 0.000], [0.000, 0.000, 25.815]],
  "species": ["La", "La", "La", "La", "La", "La", "La", "La", "La", "La", "La", "La", "La", "La", "La", "Er", "Tl", "Tl", "Tl", "Tl"],
  "frac_coords": [[0.000, 0.000, 0.000], [0.000, 0.000, 0.203], [0.000, 0.000, 0.402], [0.000, 0.000, 0.598], [0.000, 0.000, 0.797], [0.000, 0.500, 0.103], [0.000, 0.500, 0.302], [0.000, 0.500, 0.500], [0.000, 0.500, 0.698], [0.000, 0.500, 0.897], [0.500, 0.000, 0.103], [0.500, 0.000, 0.302], [0.500, 0.000, 0.500], [0.500, 0.000, 0.698], [0.500, 0.000, 0.897], [0.500, 0.500, 0.000], [0.500, 0.500, 0.204], [0.500, 0.500, 0.401], [0.500, 0.500, 0.599], [0.500, 0.500, 0.796]]
}

***

(8)
{
  "formula": "LaEr4Tl4",
  "functional": "PBE",
  "state": "optimized geometry",
  "total_energy_ha_per_atom": -0.138,
  "e_form_ev_per_atom": -0.130,
  "lattice": [[7.394, 0.000, 0.000], [0.000, 7.394, 0.000], [0.000, 0.000, 10.361]],
  "species": ["La", "La", "Er", "Er", "Er", "Er", "Er", "Er", "Er", "Er", "Tl", "Tl", "Tl", "Tl", "Tl", "Tl", "Tl", "Tl"],
  "frac_coords": [[0.250, 0.750, 0.250], [0.750, 0.250, 0.750], [0.015, 0.250, 0.156], [0.250, 0.015, 0.656], [0.250, 0.485, 0.656], [0.485, 0.250, 0.156], [0.515, 0.750, 0.844], [0.750, 0.515, 0.344], [0.750, 0.985, 0.344], [0.985, 0.750, 0.844], [0.035, 0.250, 0.456], [0.250, 0.035, 0.956], [0.250, 0.465, 0.956], [0.465, 0.250, 0.456], [0.535, 0.750, 0.544], [0.750, 0.535, 0.044], [0.750, 0.965, 0.044], [0.965, 0.750, 0.544]]
}

***

(9)
{
  "formula": "LaEr2Tl9",
  "functional": "PBE",
  "state": "optimized geometry",
  "total_energy_ha_per_atom": -0.118,
  "e_form_ev_per_atom": -0.253,
  "lattice": [[4.804, 0.000, 0.000], [0.000, 4.804, 0.000], [0.000, 0.000, 14.371]],
  "species": ["La", "Er", "Er", "Tl", "Tl", "Tl", "Tl", "Tl", "Tl", "Tl", "Tl", "Tl"],
  "frac_coords": [[0.000, 0.000, 0.000], [0.000, 0.000, 0.337], [0.000, 0.000, 0.663], [0.000, 0.500, 0.173], [0.000, 0.500, 0.500], [0.000, 0.500, 0.827], [0.500, 0.000, 0.173], [0.500, 0.000, 0.500], [0.500, 0.000, 0.827], [0.500, 0.500, 0.000], [0.500, 0.500, 0.335], [0.500, 0.500, 0.665]]
}

***

(10)
{
  "formula": "La3Er6Tl",
  "functional": "PBE",
  "state": "optimized geometry",
  "total_energy_ha_per_atom": -0.161,
  "e_form_ev_per_atom": 0.080,
  "lattice": [[6.649, -7.787, 0.000], [6.649, 7.787, 0.000], [0.000, 0.000, 6.366]],
  "species": ["La", "La", "La", "La", "La", "La", "Er", "Er", "Er", "Er", "Er", "Er", "Er", "Er", "Er", "Er", "Er", "Er", "Tl", "Tl"],
  "frac_coords": [[0.140, 0.860, 0.500], [0.212, 0.388, 0.159], [0.388, 0.212, 0.659], [0.612, 0.788, 0.159], [0.788, 0.612, 0.659], [0.860, 0.140, 0.000], [0.060, 0.177, 0.498], [0.096, 0.489, 0.692], [0.177, 0.060, 0.998], [0.253, 0.747, 0.004], [0.453, 0.547, 0.832], [0.489, 0.096, 0.192], [0.511, 0.904, 0.692], [0.547, 0.453, 0.332], [0.747, 0.253, 0.504], [0.823, 0.940, 0.498], [0.904, 0.511, 0.192], [0.940, 0.823, 0.998], [0.345, 0.655, 0.441], [0.655, 0.345, 0.941]]
}

***

(11)
{
  "formula": "La3ErTl2",
  "functional": "PBE",
  "state": "optimized geometry",
  "total_energy_ha_per_atom": -0.157,
  "e_form_ev_per_atom": -0.261,
  "de_polymorph_mev_per_atom": 26,
  "lattice": [[-3.425, 8.577, 3.402], [3.425, -8.577, 3.402], [3.425, 8.577, -3.402]],
  "species": ["La", "La", "La", "La", "La", "La", "Er", "Er", "Tl", "Tl", "Tl", "Tl"],
  "frac_coords": [[0.177, 0.250, 0.427], [0.250, 0.250, 0.000], [0.323, 0.750, 0.073], [0.677, 0.250, 0.927], [0.750, 0.750, 0.000], [0.823, 0.750, 0.573], [0.250, 0.750, 0.500], [0.750, 0.250, 0.500], [0.133, 0.738, 0.870], [0.367, 0.238, 0.605], [0.633, 0.762, 0.395], [0.867, 0.262, 0.130]]
}

***

(12)
{
  "formula": "LaEr6Tl2",
  "functional": "PBE",
  "state": "optimized geometry",
  "total_energy_ha_per_atom": -0.156,
  "e_form_ev_per_atom": -0.137,
  "lattice": [[6.350, -1.866, 0.000], [6.350, 1.866, 0.000], [-3.629, 0.000, 11.504]],
  "species": ["La", "Er", "Er", "Er", "Er", "Er", "Er", "Tl", "Tl"],
  "frac_coords": [[0.000, 0.000, 0.000], [0.010, 0.010, 0.351], [0.310, 0.310, 0.127], [0.310, 0.310, 0.420], [0.690, 0.690, 0.580], [0.690, 0.690, 0.873], [0.990, 0.990, 0.649], [0.357, 0.357, 0.776], [0.643, 0.643, 0.224]]
}

***

(13)
{
  "formula": "LaErTl2",
  "functional": "PBE",
  "state": "optimized geometry",
  "total_energy_ha_per_atom": -0.144,
  "e_form_ev_per_atom": -0.365,
  "lattice": [[7.761, 0.000, 0.000], [0.000, 7.761, 0.000], [0.000, 0.000, 7.761]],
  "species": ["La", "La", "La", "La", "Er", "Er", "Er", "Er", "Tl", "Tl", "Tl", "Tl", "Tl", "Tl", "Tl", "Tl"],
  "frac_coords": [[0.000, 0.000, 0.000], [0.000, 0.500, 0.500], [0.500, 0.000, 0.500], [0.500, 0.500, 0.000], [0.000, 0.000, 0.500], [0.000, 0.500, 0.000], [0.500, 0.000, 0.000], [0.500, 0.500, 0.500], [0.250, 0.250, 0.250], [0.250, 0.250, 0.750], [0.250, 0.750, 0.250], [0.250, 0.750, 0.750], [0.750, 0.250, 0.250], [0.750, 0.250, 0.750], [0.750, 0.750, 0.250], [0.750, 0.750, 0.750]]
}

***

(14)
{
  "formula": "LaEr5Tl5",
  "functional": "PBE",
  "state": "optimized geometry",
  "total_energy_ha_per_atom": -0.135,
  "e_form_ev_per_atom": -0.083,
  "lattice": [[7.065, -3.078, 0.000], [7.065, 3.078, 0.000], [-2.659, 0.000, 7.867]],
  "species": ["La", "Er", "Er", "Er", "Er", "Er", "Tl", "Tl", "Tl", "Tl", "Tl"],
  "frac_coords": [[0.000, 0.000, 0.000], [0.000, 0.000, 0.500], [0.340, 0.340, 0.173], [0.409, 0.409, 0.608], [0.591, 0.591, 0.392], [0.660, 0.660, 0.827], [0.185, 0.185, 0.365], [0.223, 0.223, 0.777], [0.500, 0.500, 0.000], [0.777, 0.777, 0.223], [0.815, 0.815, 0.635]]
}

***

(15)
{
  "formula": "LaEr7Tl4",
  "functional": "PBE",
  "state": "optimized geometry",
  "total_energy_ha_per_atom": -0.142,
  "e_form_ev_per_atom": -0.001,
  "lattice": [[7.319, -2.852, 0.000], [7.319, 2.852, 0.000], [-5.568, 0.000, 8.588]],
  "species": ["La", "Er", "Er", "Er", "Er", "Er", "Er", "Er", "Tl", "Tl", "Tl", "Tl"],
  "frac_coords": [[0.000, 0.000, 0.000], [0.064, 0.064, 0.401], [0.209, 0.209, 0.877], [0.273, 0.273, 0.334], [0.500, 0.500, 0.000], [0.727, 0.727, 0.666], [0.791, 0.791, 0.123], [0.936, 0.936, 0.599], [0.315, 0.315, 0.667], [0.438, 0.438, 0.248], [0.562, 0.562, 0.752], [0.685, 0.685, 0.333]]
}

***

(16)
{
  "formula": "La3Er4Tl4",
  "functional": "PBE",
  "state": "optimized geometry",
  "total_energy_ha_per_atom": -0.149,
  "e_form_ev_per_atom": -0.193,
  "lattice": [[-1.889, 2.649, 17.063], [1.889, -2.649, 17.063], [1.889, 2.649, -17.063]],
  "species": ["La", "La", "La", "Er", "Er", "Er", "Er", "Tl", "Tl", "Tl", "Tl"],
  "frac_coords": [[0.000, 0.000, 0.000], [0.358, 0.858, 0.500], [0.642, 0.142, 0.500], [0.093, 0.593, 0.500], [0.264, 0.264, 0.000], [0.736, 0.736, 0.000], [0.907, 0.407, 0.500], [0.184, 0.684, 0.500], [0.452, 0.452, 0.000], [0.548, 0.548, 0.000], [0.816, 0.316, 0.500]]
}

***

(17)
{
  "formula": "La6Er5Tl",
  "functional": "PBE",
  "state": "optimized geometry",
  "total_energy_ha_per_atom": -0.169,
  "e_form_ev_per_atom": -0.032,
  "lattice": [[-2.587, 4.943, 7.788], [2.587, -4.943, 7.788], [2.587, 4.943, -7.788]],
  "species": ["La", "La", "La", "La", "La", "La", "Er", "Er", "Er", "Er", "Er", "Tl"],
  "frac_coords": [[0.078, 0.332, 0.746], [0.244, 0.000, 0.244], [0.414, 0.668, 0.746], [0.586, 0.332, 0.254], [0.756, 0.000, 0.756], [0.922, 0.668, 0.254], [0.172, 0.172, 0.000], [0.336, 0.836, 0.500], [0.500, 0.500, 0.000], [0.664, 0.164, 0.500], [0.828, 0.828, 0.000], [0.000, 0.500, 0.500]]
}

***

(18)
{
  "formula": "La3Er3Tl2",
  "functional": "PBE",
  "state": "optimized geometry",
  "total_energy_ha_per_atom": -0.157,
  "e_form_ev_per_atom": -0.125,
  "lattice": [[2.563, -6.038, 0.000], [2.563, 6.038, 0.000], [0.000, 0.000, 17.035]],
  "species": ["La", "La", "La", "La", "La", "La", "Er", "Er", "Er", "Er", "Er", "Er", "Tl", "Tl", "Tl", "Tl"],
  "frac_coords": [[0.052, 0.948, 0.604], [0.052, 0.948, 0.896], [0.301, 0.699, 0.750], [0.699, 0.301, 0.250], [0.948, 0.052, 0.104], [0.948, 0.052, 0.396], [0.366, 0.634, 0.543], [0.366, 0.634, 0.957], [0.415, 0.585, 0.250], [0.585, 0.415, 0.750], [0.634, 0.366, 0.043], [0.634, 0.366, 0.457], [0.236, 0.764, 0.118], [0.236, 0.764, 0.382], [0.764, 0.236, 0.618], [0.764, 0.236, 0.882]]
}

***

(19)
{
  "formula": "La15Er2Tl2",
  "functional": "PBE",
  "state": "optimized geometry",
  "total_energy_ha_per_atom": -0.166,
  "e_form_ev_per_atom": 0.110,
  "lattice": [[5.509, 3.181, 6.226], [-5.509, 3.181, 6.226], [0.000, -6.361, 6.226]],
  "species": ["La", "La", "La", "La", "La", "La", "La", "La", "La", "La", "La", "La", "La", "La", "La", "Er", "Er", "Tl", "Tl"],
  "frac_coords": [[0.000, 0.000, 0.500], [0.000, 0.291, 0.709], [0.000, 0.500, 0.000], [0.000, 0.709, 0.291], [0.177, 0.601, 0.601], [0.291, 0.000, 0.709], [0.291, 0.709, 0.000], [0.399, 0.399, 0.823], [0.399, 0.823, 0.399], [0.500, 0.000, 0.000], [0.601, 0.177, 0.601], [0.601, 0.601, 0.177], [0.709, 0.000, 0.291], [0.709, 0.291, 0.000], [0.823, 0.399, 0.399], [0.296, 0.296, 0.296], [0.704, 0.704, 0.704], [0.100, 0.100, 0.100], [0.900, 0.900, 0.900]]
}

***

(20)
{
  "formula": "LaErTl2",
  "functional": "PBE",
  "state": "optimized geometry",
  "total_energy_ha_per_atom": -0.143,
  "e_form_ev_per_atom": -0.343,
  "lattice": [[5.134, 0.000, 0.000], [0.000, 5.134, 0.000], [0.000, 0.000, 4.435]],
  "species": ["La", "Er", "Tl", "Tl"],
  "frac_coords": [[0.000, 0.000, 0.000], [0.500, 0.500, 0.000], [0.000, 0.500, 0.500], [0.500, 0.000, 0.500]]
}

***

| no. | magnetic moment (μB per formula unit) |
| --- | --- |
| 1 | 0.00 |
| 2 | 0.00 |
| 3 | 0.00 |
| 4 | 0.63 |
| 5 | 0.00 |
| 6 | 0.00 |
| 7 | 0.00 |
| 8 | 0.00 |
| 9 | 0.00 |
| 10 | 0.00 |
| 11 | 1.12 |
| 12 | 0.00 |
| 13 | 0.00 |
| 14 | 0.00 |
| 15 | 0.00 |
| 16 | 0.00 |
| 17 | 0.00 |
| 18 | 0.00 |
| 19 | 0.00 |
| 20 | 0.00 |